## Y6CdAu5 (PBE-GGA)

Data for a relaxed structure of Y6CdAu5.

Lattice parameters (Å, degrees): 8.9079 8.9079 8.9079 146.55 132.01 59.76
Fractional coordinates of all 12 atoms:
Y  0.0757  0.3297  0.7460
Y  0.2402  0.0000  0.2402
Y  0.4163  0.6703  0.7460
Y  0.5837  0.3297  0.2540
Y  0.7598  0.0000  0.7598
Y  0.9243  0.6703  0.2540
Cd  0.5000  0.5000  0.0000
Au  0.0000  0.5000  0.5000
Au  0.1679  0.1679  0.0000
Au  0.3447  0.8447  0.5000
Au  0.6553  0.1553  0.5000
Au  0.8321  0.8321  0.0000

* SG: No. 71
* raw total energy: -5.447 eV/atom
* total magnetic moment: 0.0 μB per formula unit